Below is a relaxed NiPBrO2 crystal, with properties calculated at the PBE+U level.

```
data_NiPBrO2
_space_group_name_H-M_alt 'P 4/m m m'
_space_group_IT_number 123
_space_group_name_Hall '-P 4 2'
_cell_length_a 3.735
_cell_length_b 3.735
_cell_length_c 5.041
_cell_angle_alpha 90.00
_cell_angle_beta 90.00
_cell_angle_gamma 90.00
loop_
_atom_site_label
_atom_site_type_symbol
_atom_site_fract_x
_atom_site_fract_y
_atom_site_fract_z
Ni1 Ni 0.000 0.000 0.000
P1 P 0.000 0.000 0.500
Br1 Br 0.500 0.500 0.500
O1 O 0.000 0.500 0.000
```

## Properties
**Total magnetic moment**: 2.6 μB/cell
**Raw total energy**: -3.509 eV per atom
**E above lowest polymorph**: 0.000 eV/atom